First-principles (PBEsol) data for a relaxed structure of Mo2W, as listed in Alexandria.

Calculated values
- V (A^3/atom) = 15.4
- formation enthalpy at 0 K (eV/atom) = -0.004
- space group = Cmcm

Cell lengths 6.8411, 6.8411, 4.4266 Å; angles 90.00, 90.00, 153.50 degrees
Fractional coordinates of all 6 atoms:
Mo  0.0835  0.9165  0.7500
Mo  0.2500  0.7500  0.2500
Mo  0.7500  0.2500  0.7500
Mo  0.9165  0.0835  0.2500
W  0.4165  0.5835  0.7500
W  0.5835  0.4165  0.2500

---

First-principles (PBEsol) data for a relaxed structure of Mo4W5, as listed in Alexandria.

Calculated values
- V (A^3/atom) = 15.5
- formation enthalpy at 0 K (eV/atom) = 0.000
- space group = I4/mmm

Cell lengths 6.8431, 6.8431, 6.8431 Å; angles 93.03, 93.03, 153.43 degrees
Fractional coordinates of all 9 atoms:
Mo  0.0000  0.3338  0.3338
Mo  0.0000  0.6662  0.6662
Mo  0.3338  0.0000  0.3338
Mo  0.6662  0.0000  0.6662
W  0.0000  0.0000  0.0000
W  0.3332  0.3332  0.6663
W  0.3332  0.6668  0.0000
W  0.6668  0.3332  0.0000
W  0.6668  0.6668  0.3337

---

First-principles (PBEsol) data for a relaxed structure of MoW2, as listed in Alexandria.

Calculated values
- V (A^3/atom) = 15.5
- formation enthalpy at 0 K (eV/atom) = 0.001
- space group = P-3m1

Cell lengths 4.4426, 4.4426, 2.7282 Å; angles 90.00, 90.00, 120.00 degrees
Fractional coordinates of all 3 atoms:
Mo  0.0000  0.0000  0.0000
W  0.3333  0.6667  0.6692
W  0.6667  0.3333  0.3308

---

First-principles (PBEsol) data for a relaxed structure of MoW2, as listed in Alexandria.

Calculated values
- V (A^3/atom) = 15.5
- formation enthalpy at 0 K (eV/atom) = 0.000
- space group = C2/m

Cell lengths 5.2087, 5.2087, 6.2966 Å; angles 107.67, 107.67, 35.18 degrees
Fractional coordinates of all 6 atoms:
Mo  0.1670  0.1670  0.0831
Mo  0.8330  0.8330  0.9169
W  0.1667  0.1667  0.5839
W  0.4995  0.4995  0.7509
W  0.5005  0.5005  0.2491
W  0.8333  0.8333  0.4161

---

First-principles (PBEsol) data for a relaxed structure of MoW, as listed in Alexandria.

Calculated values
- V (A^3/atom) = 15.5
- formation enthalpy at 0 K (eV/atom) = -0.004
- space group = Imma

Cell lengths 5.2108, 5.2108, 5.2108 Å; angles 144.95, 129.60, 62.86 degrees
Fractional coordinates of all 4 atoms:
Mo  0.3750  0.1250  0.2500
Mo  0.6250  0.8750  0.7500
W  0.1252  0.3752  0.7500
W  0.8748  0.6248  0.2500

---

First-principles (PBEsol) data for a relaxed structure of MoW3, as listed in Alexandria.

Calculated values
- V (A^3/atom) = 15.6
- formation enthalpy at 0 K (eV/atom) = 0.002
- space group = R-3m

Cell lengths 5.2150, 5.2150, 5.2150 Å; angles 117.02, 117.02, 117.02 degrees
Fractional coordinates of all 4 atoms:
Mo  0.0000  0.0000  0.0000
W  0.0000  0.5000  0.5000
W  0.5000  0.0000  0.5000
W  0.5000  0.5000  0.0000

---

First-principles (PBEsol) data for a relaxed structure of MoW2, as listed in Alexandria.

Calculated values
- V (A^3/atom) = 18.4
- formation enthalpy at 0 K (eV/atom) = 1.138
- space group = Fm-3m

Cell lengths 4.2714, 4.2714, 4.2714 Å; angles 60.00, 60.00, 60.00 degrees
Fractional coordinates of all 3 atoms:
Mo  0.0000  0.0000  0.0000
W  0.2500  0.2500  0.2500
W  0.7500  0.7500  0.7500

---

First-principles (PBEsol) data for a relaxed structure of MoW, as listed in Alexandria.

Calculated values
- V (A^3/atom) = 15.5
- formation enthalpy at 0 K (eV/atom) = -0.002
- space group = Cm

Cell lengths 5.2005, 5.2005, 6.2854 Å; angles 107.61, 107.61, 35.17 degrees
Fractional coordinates of all 6 atoms:
Mo  0.0000  0.0000  0.0000
Mo  0.0005  0.0005  0.4994
Mo  0.6667  0.6667  0.3329
W  0.3334  0.3334  0.1669
W  0.3339  0.3339  0.6660
W  0.6665  0.6665  0.8327